AcLa2Hg6: optimized geometry, PBE.

a b c (Å): 3.6619 8.8744 8.8744
angles (deg): 120.00 90.00 90.00
Closest atoms and distances in Å follow each position.
Positions (direct):
Ac: 0.0000 0.0000 0.0000  12 Hg 3.50, 2 Ac 3.66
La: 0.0000 0.3333 0.6667  12 Hg 3.47, 2 La 3.66
La: 0.0000 0.6667 0.3333  12 Hg 3.47, 2 La 3.66
Hg: 0.5000 0.3357 0.3357  3 Hg 2.92-2.98
Hg: 0.5000 0.6643 0.6643  3 Hg 2.92-2.98
Hg: 0.5000 0.0000 0.6643  3 Hg 2.92-2.98
Hg: 0.5000 0.6643 0.0000  3 Hg 2.92-2.98
Hg: 0.5000 0.3357 0.0000  3 Hg 2.92-2.98
Hg: 0.5000 0.0000 0.3357  3 Hg 2.92-2.98

Computed properties:
Total DFT energy (no corrections) in eV per atom: -2.227
DFT formation energy in eV/atom: -0.475
Magnetization in Bohr magnetons per cell: 0.49
DOS at the Fermi energy in states/eV/cell: 7.79